one | {
  "formula": "YNi2Te2",
  "functional": "PBE",
  "state": "relaxed",
  "spacegroup": "I4/mmm (139)",
  "total_magnetization_mub_per_cell": 0.00,
  "dos_at_fermi_per_ev_atom": 0.548,
  "vol_a3_per_cell": 204.0,
  "lattice_angstrom": [[3.938, 0.000, 0.000], [0.000, 3.938, 0.000], [0.000, 0.000, 13.158]],
  "species": ["Y", "Y", "Ni", "Ni", "Ni", "Ni", "Te", "Te", "Te", "Te"],
  "fractional_positions": [[0.000, 0.000, 0.000], [0.500, 0.500, 0.500], [0.000, 0.500, 0.250], [0.000, 0.500, 0.750], [0.500, 0.000, 0.250], [0.500, 0.000, 0.750], [0.000, 0.000, 0.373], [0.000, 0.000, 0.627], [0.500, 0.500, 0.127], [0.500, 0.500, 0.873]]
}

two | {
  "formula": "YNi2Te2",
  "functional": "PBE",
  "state": "relaxed",
  "spacegroup": "I4/mmm (139)",
  "total_magnetization_mub_per_cell": 0.00,
  "dos_at_fermi_per_ev_atom": 0.735,
  "vol_a3_per_cell": 206.6,
  "lattice_angstrom": [[4.889, 0.000, 0.000], [0.000, 4.889, 0.000], [0.000, 0.000, 8.640]],
  "species": ["Y", "Y", "Ni", "Ni", "Ni", "Ni", "Te", "Te", "Te", "Te"],
  "fractional_positions": [[0.000, 0.000, 0.000], [0.500, 0.500, 0.500], [0.000, 0.000, 0.355], [0.000, 0.000, 0.645], [0.500, 0.500, 0.145], [0.500, 0.500, 0.855], [0.000, 0.500, 0.250], [0.000, 0.500, 0.750], [0.500, 0.000, 0.250], [0.500, 0.000, 0.750]]
}

The structure with the greatest stability is one.

one | {
  "formula": "ZnNiTe2",
  "functional": "PBE",
  "state": "relaxed",
  "spacegroup": "I-42d (122)",
  "total_magnetization_mub_per_cell": 0.00,
  "dos_at_fermi_per_ev_atom": 0.620,
  "vol_a3_per_cell": 421.5,
  "lattice_angstrom": [[5.966, 0.000, 0.000], [0.000, 5.966, 0.000], [0.000, 0.000, 11.843]],
  "species": ["Zn", "Zn", "Zn", "Zn", "Ni", "Ni", "Ni", "Ni", "Te", "Te", "Te", "Te", "Te", "Te", "Te", "Te"],
  "fractional_positions": [[0.000, 0.000, 0.000], [0.000, 0.500, 0.250], [0.500, 0.000, 0.750], [0.500, 0.500, 0.500], [0.000, 0.000, 0.500], [0.000, 0.500, 0.750], [0.500, 0.000, 0.250], [0.500, 0.500, 0.000], [0.222, 0.250, 0.625], [0.250, 0.722, 0.875], [0.250, 0.778, 0.375], [0.278, 0.250, 0.125], [0.722, 0.750, 0.125], [0.750, 0.222, 0.375], [0.750, 0.278, 0.875], [0.778, 0.750, 0.625]]
}

two | {
  "formula": "ZnNiTe2",
  "functional": "PBE",
  "state": "relaxed",
  "spacegroup": "Cmmm (65)",
  "total_magnetization_mub_per_cell": 0.00,
  "dos_at_fermi_per_ev_atom": 0.314,
  "vol_a3_per_cell": 183.5,
  "lattice_angstrom": [[6.098, 0.000, 0.000], [0.000, 7.881, 0.000], [0.000, 0.000, 3.818]],
  "species": ["Zn", "Zn", "Ni", "Ni", "Te", "Te", "Te", "Te"],
  "fractional_positions": [[0.000, 0.000, 0.000], [0.500, 0.500, 0.000], [0.000, 0.500, 0.000], [0.500, 0.000, 0.000], [0.000, 0.285, 0.500], [0.000, 0.715, 0.500], [0.500, 0.215, 0.500], [0.500, 0.785, 0.500]]
}

The structure with the greatest stability is one.

one | {
  "formula": "ZnNiTe2",
  "functional": "PBE",
  "state": "relaxed",
  "spacegroup": "I-4m2 (119)",
  "total_magnetization_mub_per_cell": 0.00,
  "dos_at_fermi_per_ev_atom": 1.016,
  "vol_a3_per_cell": 184.6,
  "lattice_angstrom": [[3.798, 0.000, 0.000], [0.000, 3.798, 0.000], [0.000, 0.000, 12.797]],
  "species": ["Zn", "Zn", "Ni", "Ni", "Te", "Te", "Te", "Te"],
  "fractional_positions": [[0.000, 0.000, 0.000], [0.500, 0.500, 0.500], [0.000, 0.500, 0.750], [0.500, 0.000, 0.250], [0.000, 0.000, 0.500], [0.000, 0.500, 0.250], [0.500, 0.000, 0.750], [0.500, 0.500, 0.000]]
}

two | {
  "formula": "ZnNiTe2",
  "functional": "PBE",
  "state": "relaxed",
  "spacegroup": "C2/m (12)",
  "total_magnetization_mub_per_cell": 0.00,
  "dos_at_fermi_per_ev_atom": 0.431,
  "vol_a3_per_cell": 181.6,
  "lattice_angstrom": [[6.118, 0.000, 0.000], [0.000, 7.707, 0.000], [-3.028, 0.000, 3.851]],
  "species": ["Zn", "Zn", "Ni", "Ni", "Te", "Te", "Te", "Te"],
  "fractional_positions": [[0.000, 0.000, 0.000], [0.500, 0.500, 0.000], [0.000, 0.500, 0.000], [0.500, 0.000, 0.000], [0.250, 0.250, 0.500], [0.250, 0.750, 0.500], [0.750, 0.250, 0.500], [0.750, 0.750, 0.500]]
}

three | {
  "formula": "ZnNiTe2",
  "functional": "PBE",
  "state": "relaxed",
  "spacegroup": "R-3m (166)",
  "total_magnetization_mub_per_cell": 0.00,
  "dos_at_fermi_per_ev_atom": 0.630,
  "vol_a3_per_cell": 256.8,
  "lattice_angstrom": [[3.878, 0.000, 0.000], [-1.939, 3.359, 0.000], [0.000, 0.000, 19.711]],
  "species": ["Zn", "Zn", "Zn", "Ni", "Ni", "Ni", "Te", "Te", "Te", "Te", "Te", "Te"],
  "fractional_positions": [[0.000, 0.000, 0.000], [0.333, 0.667, 0.667], [0.667, 0.333, 0.333], [0.000, 0.000, 0.500], [0.333, 0.667, 0.167], [0.667, 0.333, 0.833], [0.000, 0.000, 0.238], [0.000, 0.000, 0.762], [0.333, 0.667, 0.429], [0.333, 0.667, 0.905], [0.667, 0.333, 0.095], [0.667, 0.333, 0.571]]
}

The structure with the greatest stability is three.